Record 1
First-principles (GGA-PBE) data for crystalline Pm3Te3C at its relaxed geometry, as listed in the Alexandria database.

Formation energy (no corrections) (meV per atom): -960
Electronic total energy (eV per atom): -5.660
V (Å³/cell): 427
Total moment (μB/f.u.): 0.00
Crystal system: monoclinic

a b c (Å): 7.8021 7.8021 7.7876
angles (deg): 96.31 96.31 113.21
Fractional positions:
1 Pm 0.1360 0.4314 0.2693
2 C 0.8395 0.8395 0.8569
3 Pm 0.0990 0.0990 0.8262
4 Te 0.1676 0.8324 0.5000
5 Te 0.5906 0.5906 0.3652
6 Te 0.2710 0.7290 0.0000
7 Te 0.7290 0.2710 0.0000
8 Te 0.8324 0.1676 0.5000
9 Pm 0.5686 0.8640 0.7307
10 Te 0.4094 0.4094 0.6348
11 C 0.1605 0.1605 0.1431
12 Pm 0.8640 0.5686 0.7307
13 Pm 0.4314 0.1360 0.2693
14 Pm 0.9010 0.9010 0.1738



Record 2
First-principles (GGA-PBE) data for crystalline SrPtW2 at its relaxed geometry, as listed in the Alexandria database.

Energy of formation (eV/atom): 0.706
Electronic total energy (eV per atom): -7.701
V (Å³/cell): 82
Total moment (μB/f.u.): 0.00
Polymorph energy (0 for the lowest one) (meV/atom): 379
Crystal system: orthorhombic

a b c (Å): 5.7615 5.7615 5.7615
angles (deg): 148.22 124.91 65.01
Fractional positions:
1 W 0.9594 0.9594 0.0000
2 Sr 0.2504 0.7504 0.5000
3 Pt 0.5295 0.5295 0.0000
4 W 0.7607 0.2607 0.5000



Record 3
First-principles (GGA-PBE) data for crystalline TaFeMo2 at its relaxed geometry, as listed in the Alexandria database.

Energy of formation (eV/atom): 0.174
Electronic total energy (eV per atom): -10.320
V (Å³/cell): 61
Total moment (μB/f.u.): 0.00
Polymorph energy (0 for the lowest one) (meV/atom): 203
Crystal system: cubic

a b c (Å): 4.4082 4.4082 4.4082
angles (deg): 60.00 60.00 60.00
Fractional positions:
1 Mo 0.7500 0.7500 0.7500
2 Fe 0.0000 0.0000 0.0000
3 Ta 0.5000 0.5000 0.5000
4 Mo 0.2500 0.2500 0.2500



Record 4
First-principles (GGA-PBE) data for crystalline Ac2AlAu at its relaxed geometry, as listed in the Alexandria database.

Energy of formation (eV/atom): 0.087
Electronic total energy (eV per atom): -3.723
V (Å³/cell): 144
Total moment (μB/f.u.): 0.00
Crystal system: trigonal

a b c (Å): 3.9270 3.9270 11.0094
angles (deg): 79.73 79.73 60.00
Fractional positions:
1 Ac 0.9068 0.9068 0.2796
2 Au 0.0000 0.0000 0.0000
3 Al 0.5000 0.5000 0.5000
4 Ac 0.0932 0.0932 0.7204



Record 5
First-principles (GGA-PBE) data for crystalline LiMnTc at its relaxed geometry, as listed in the Alexandria database.

Energy of formation (eV/atom): 0.283
Electronic total energy (eV per atom): -6.867
V (Å³/cell): 38
Total moment (μB/f.u.): 1.39
Polymorph energy (0 for the lowest one) (meV/atom): 73
Crystal system: orthorhombic

a b c (Å): 4.3965 4.3965 4.3965
angles (deg): 146.67 124.69 66.14
Fractional positions:
1 Tc 0.6641 0.6641 0.0000
2 Li 0.9991 0.9991 0.0000
3 Mn 0.3368 0.3368 0.0000



Record 6
First-principles (GGA-PBE) data for crystalline NaNbTe at its relaxed geometry, as listed in the Alexandria database.

Formation energy (no corrections) (meV per atom): 39
Electronic total energy (eV per atom): -4.805
V (Å³/cell): 161
Total moment (μB/f.u.): 0.00
Crystal system: orthorhombic

a b c (Å): 5.0341 3.7241 9.1327
angles (deg): 101.76 106.00 90.00
Fractional positions:
1 Nb 0.7339 0.5000 0.0000
2 Nb 0.2661 0.5000 0.0000
3 Te 0.8533 0.3533 0.7067
4 Na 0.6642 0.1642 0.3283
5 Te 0.1467 0.6467 0.2933
6 Na 0.3358 0.8358 0.6717



Record 7
First-principles (GGA-PBE) data for crystalline SrYZr2 at its relaxed geometry, as listed in the Alexandria database.

Energy of formation (eV/atom): 0.325
Electronic total energy (eV per atom): -5.986
V (Å³/cell): 122
Total moment (μB/f.u.): 0.00
Polymorph energy (0 for the lowest one) (meV/atom): 95
Crystal system: monoclinic

a b c (Å): 5.5362 5.5362 6.9651
angles (deg): 85.37 85.37 35.06
Fractional positions:
1 Zr 0.7402 0.7402 0.8163
2 Zr 0.0042 0.0042 0.9649
3 Sr 0.4970 0.4970 0.5132
4 Y 0.2585 0.2585 0.2056



Record 8
First-principles (GGA-PBE) data for crystalline PN2F at its relaxed geometry, as listed in the Alexandria database.

Formation energy (no corrections) (meV per atom): 242
Electronic total energy (eV per atom): -5.741
V (Å³/cell): 36
Total moment (μB/f.u.): 0.00
Polymorph energy (0 for the lowest one) (meV/atom): 0
Crystal system: trigonal

a b c (Å): 5.6566 5.6566 5.6566
angles (deg): 28.14 28.14 28.14
Fractional positions:
1 N 0.8886 0.8886 0.8886
2 N 0.1114 0.1114 0.1114
3 P 0.5000 0.5000 0.5000
4 F 0.0000 0.0000 0.0000